KGa3P | PBE | relaxed

Computed properties:
The calculation puts the spin magnetization at 0.0 μB/f.u. As for the calculated formation energy: 1.349 eV/atom. For the energy relative to the lowest polymorph listed for this composition, the calculation gives 1117 meV/atom.

Geometry as CIF:
```
data_KGa3P
_chemical_formula_sum 'K1 Ga3 P1'
_symmetry_space_group_name_H-M 'P m -3 m'
_symmetry_Int_Tables_number 221
_symmetry_space_group_name_Hall '-P 4 2 3'
_cell_length_a 5.5986
_cell_length_b 5.5986
_cell_length_c 5.5986
_cell_angle_alpha 90.00
_cell_angle_beta 90.00
_cell_angle_gamma 90.00
loop_
_atom_site_label
_atom_site_type_symbol
_atom_site_fract_x
_atom_site_fract_y
_atom_site_fract_z
K1 K 0.0000 0.0000 0.0000
Ga1 Ga 0.0000 0.0000 0.5000
P1 P 0.5000 0.5000 0.5000
```